Entry from the Alexandria database: an optimized crystal structure of Tb2TeN (PBE).

```
16
Lattice="8.095 0.000 0.000 0.000 6.949 0.000 -0.215 0.000 6.735" Properties=species:S:1:pos:R:3 pbc="T T T"
Tb 0.606 1.153 2.425
Tb 0.499 2.321 5.793
Tb 2.198 4.706 3.680
Tb 2.306 5.717 0.312
Tb 5.574 1.232 6.423
Tb 5.682 2.243 3.055
Tb 7.381 4.628 0.943
Tb 7.274 5.795 4.310
Te 2.874 0.714 4.735
Te 2.982 2.761 1.367
Te 4.898 4.188 5.368
Te 5.006 6.235 2.001
N 0.688 4.635 5.678
N 0.796 5.788 2.310
N 7.084 1.161 4.425
N 7.192 2.314 1.057
```

Crystal system: monoclinic
ΔE to the lowest computed polymorph: 44 meV/atom
ΔE_f (raw): -1356 meV/atom
DOS(E_F): 1.7 states/eV/f.u.
E: -26.15 eV per formula unit
Spin magnetization: 0.00 μB per cell

=====

Entry from the Alexandria database: an optimized crystal structure of Tb4Te3N2 (PBE).

```
9
Lattice="7.004 -1.821 0.000 7.004 1.821 0.000 -2.129 0.000 8.599" Properties=species:S:1:pos:R:3 pbc="T T T"
Tb 0.849 0.000 1.717
Tb 3.599 0.000 3.457
Tb 8.281 0.000 5.142
Tb 11.031 0.000 6.881
Te -1.064 0.000 4.299
Te 5.349 0.000 0.756
Te 6.531 0.000 7.842
N 2.806 0.000 5.627
N 9.074 0.000 2.972
```

Crystal system: monoclinic
ΔE to the lowest computed polymorph: 186 meV/atom
ΔE_f (raw): -1373 meV/atom
DOS(E_F): 0.5 states/eV/f.u.
E: -56.95 eV per formula unit
Spin magnetization: 0.00 μB per cell

=====

Entry from the Alexandria database: an optimized crystal structure of Tb3TeN2 (PBE).

```
12
Lattice="3.554 0.000 0.000 0.000 10.647 0.000 0.000 0.000 6.317" Properties=species:S:1:pos:R:3 pbc="T T T"
Tb 0.000 0.959 0.000
Tb 0.000 9.688 3.159
Tb 1.777 1.817 3.397
Tb 1.777 4.154 5.552
Tb 1.777 6.493 2.394
Tb 1.777 8.830 0.238
Te 0.000 3.929 1.759
Te 0.000 6.718 4.918
N 0.000 2.758 4.854
N 0.000 7.889 1.695
N 1.777 0.074 1.713
N 1.777 10.574 4.872
```

Crystal system: orthorhombic
ΔE_f (raw): -1318 meV/atom
DOS(E_F): 2.8 states/eV/f.u.
E: -41.59 eV per formula unit
Spin magnetization: 1.32 μB per cell

=====

Entry from the Alexandria database: an optimized crystal structure of Tb4Te3N2 (PBE).

```
18
Lattice="6.775 -5.154 0.000 6.775 5.154 0.000 -0.160 0.000 6.552" Properties=species:S:1:pos:R:3 pbc="T T T"
Tb 4.791 3.143 6.385
Tb 4.340 0.732 2.684
Tb 8.519 3.143 3.443
Tb 4.260 -0.732 5.960
Tb 9.129 0.732 0.592
Tb 4.871 -3.143 3.109
Tb 9.049 -0.732 3.868
Tb 8.599 -3.143 0.167
Te 5.195 3.784 2.985
Te 8.275 3.784 0.291
Te 6.655 0.931 4.914
Te 6.735 -0.931 1.638
Te 5.115 -3.784 6.261
Te 8.195 -3.784 3.567
N 3.914 1.255 0.509
N 3.834 -1.255 3.785
N 9.556 1.255 2.767
N 9.476 -1.255 6.043
```

Crystal system: monoclinic
ΔE to the lowest computed polymorph: 34 meV/atom
ΔE_f (raw): -1525 meV/atom
E: -58.32 eV per formula unit
Spin magnetization: 0.00 μB per cell

=====

Entry from the Alexandria database: an optimized crystal structure of Tb3Te2N2 (PBE).

```
14
Lattice="6.586 0.000 0.000 0.000 7.232 0.000 -3.212 0.000 6.904" Properties=species:S:1:pos:R:3 pbc="T T T"
Tb 0.000 0.000 0.000
Tb -1.606 3.616 3.452
Tb 0.118 1.000 5.517
Tb 1.724 2.616 2.065
Tb 1.650 4.617 4.839
Tb 3.256 6.232 1.387
Te -1.824 4.506 6.358
Te -0.218 6.342 2.906
Te 3.592 0.890 3.998
Te 5.198 2.726 0.546
N 2.067 0.789 0.527
N 0.461 2.828 3.979
N 2.913 4.405 2.925
N 1.307 6.444 6.377
```

Crystal system: monoclinic
ΔE_f (raw): -1323 meV/atom
DOS(E_F): 4.3 states/eV/f.u.
E: -46.09 eV per formula unit
Spin magnetization: 0.00 μB per cell

=====

Entry from the Alexandria database: an optimized crystal structure of Tb4Te3N2 (PBE).

```
36
Lattice="7.361 0.000 0.000 0.000 11.698 0.000 0.000 0.000 11.072" Properties=species:S:1:pos:R:3 pbc="T T T"
Tb 0.191 1.067 1.960
Tb 0.191 4.782 3.576
Tb 1.210 7.645 1.291
Tb 1.210 9.902 4.245
Tb 2.471 1.796 4.245
Tb 2.471 4.053 1.291
Tb 3.490 6.916 3.576
Tb 3.490 10.631 1.960
Tb 3.871 1.067 9.112
Tb 3.871 4.782 7.496
Tb 4.890 7.645 9.781
Tb 4.890 9.902 6.827
Tb 6.152 1.796 6.827
Tb 6.152 4.053 9.781
Tb 7.171 6.916 7.496
Tb 7.171 10.631 9.112
Te 0.974 1.899 10.165
Te 0.974 3.950 6.442
Te 1.840 0.000 6.759
Te 1.840 5.849 9.849
Te 2.706 7.748 6.442
Te 2.706 9.799 10.165
Te 4.655 1.899 0.906
Te 4.655 3.950 4.629
Te 5.521 0.000 4.313
Te 5.521 5.849 1.223
Te 6.387 7.748 4.629
Te 6.387 9.799 0.906
N 1.163 2.925 2.768
N 1.840 0.000 3.047
N 1.840 5.849 2.489
N 2.517 8.774 2.768
N 4.844 2.925 8.304
N 5.521 0.000 8.025
N 5.521 5.849 8.582
N 6.198 8.774 8.304
```

Crystal system: orthorhombic
ΔE to the lowest computed polymorph: 0 meV/atom
ΔE_f (raw): -1559 meV/atom
E: -58.62 eV per formula unit
Spin magnetization: 0.00 μB per cell

=====

Entry from the Alexandria database: an optimized crystal structure of Tb3Te3N (PBE).

```
28
Lattice="8.173 0.000 0.000 0.000 12.094 0.000 -2.861 0.000 8.198" Properties=species:S:1:pos:R:3 pbc="T T T"
Tb -0.211 0.273 2.950
Tb -1.642 5.774 7.049
Tb 1.751 8.559 1.280
Tb 0.321 9.582 5.379
Tb 0.509 1.073 6.520
Tb 1.939 4.975 2.421
Tb 3.373 7.120 5.778
Tb 4.803 11.022 1.679
Tb 4.992 2.512 2.819
Tb 3.561 3.535 6.918
Tb 6.954 6.320 1.150
Tb 5.523 11.821 5.249
Te -1.914 2.818 5.641
Te -0.484 3.229 1.541
Te 0.576 6.319 4.776
Te 2.006 11.822 0.677
Te 2.216 2.307 4.223
Te 3.647 3.740 0.124
Te 1.665 8.355 8.074
Te 3.096 9.787 3.975
Te 3.306 0.272 7.522
Te 4.736 5.775 3.423
Te 5.796 8.865 6.657
Te 7.226 9.276 2.558
N 1.067 6.461 1.007
N -0.363 11.680 5.106
N 5.675 0.414 3.092
N 4.245 5.633 7.192
```

Crystal system: monoclinic
ΔE to the lowest computed polymorph: 0 meV/atom
ΔE_f (raw): -1510 meV/atom
E: -42.21 eV per formula unit
Spin magnetization: 0.00 μB per cell

=====

Entry from the Alexandria database: an optimized crystal structure of Tb3Te2N (PBE).

```
12
Lattice="6.074 -3.934 0.000 6.074 3.934 0.000 0.000 0.000 6.553" Properties=species:S:1:pos:R:3 pbc="T T T"
Tb 6.074 2.857 3.277
Tb 4.432 0.090 1.022
Tb 4.432 -0.090 4.298
Tb 7.716 0.090 1.022
Tb 7.716 -0.090 4.298
Tb 6.074 -2.857 0.000
Te 4.129 2.663 5.776
Te 8.018 2.663 5.776
Te 4.129 -2.663 2.499
Te 8.018 -2.663 2.499
N 6.074 0.682 2.649
N 6.074 -0.682 5.925
```

Crystal system: orthorhombic
ΔE_f (raw): -1289 meV/atom
DOS(E_F): 4.4 states/eV/f.u.
E: -36.24 eV per formula unit
Spin magnetization: 0.00 μB per cell

=====

Entry from the Alexandria database: an optimized crystal structure of Tb2TeN (PBE).

```
4
Lattice="1.885 1.088 6.950 -1.885 1.088 6.950 0.000 -2.177 6.950" Properties=species:S:1:pos:R:3 pbc="T T T"
Tb 0.000 0.000 4.755
Tb 0.000 0.000 16.095
Te 0.000 0.000 0.000
N 0.000 0.000 10.425
```

Crystal system: trigonal
ΔE to the lowest computed polymorph: 15 meV/atom
ΔE_f (raw): -1385 meV/atom
DOS(E_F): 1.9 states/eV/f.u.
E: -26.27 eV per formula unit
Spin magnetization: 0.00 μB per cell

=====

Entry from the Alexandria database: an optimized crystal structure of Tb2TeN (PBE).

```
4
Lattice="1.879 1.085 7.009 -1.879 1.085 7.009 0.000 -2.169 7.009" Properties=species:S:1:pos:R:3 pbc="T T T"
Tb 0.000 0.000 0.000
Tb 0.000 0.000 4.422
Te 0.000 0.000 9.236
N 0.000 0.000 12.808
```

Crystal system: trigonal
ΔE to the lowest computed polymorph: 27 meV/atom
ΔE_f (raw): -1373 meV/atom
DOS(E_F): 2.7 states/eV/f.u.
E: -26.22 eV per formula unit
Spin magnetization: 0.00 μB per cell

=====

Entry from the Alexandria database: an optimized crystal structure of Tb5Te5N (PBE).

```
11
Lattice="6.624 -3.016 0.000 6.624 3.016 0.000 -2.793 0.000 7.920" Properties=species:S:1:pos:R:3 pbc="T T T"
Tb 0.000 0.000 0.000
Tb 4.276 0.000 1.095
Tb 2.795 0.000 5.730
Tb 7.660 0.000 2.191
Tb 6.179 0.000 6.825
Te -0.175 0.000 6.399
Te 1.412 0.000 2.676
Te 5.228 0.000 3.960
Te 9.043 0.000 5.245
Te 10.631 0.000 1.521
N 6.624 0.000 0.000
```

Crystal system: monoclinic
ΔE_f (raw): -1308 meV/atom
DOS(E_F): 4.6 states/eV/f.u.
E: -61.57 eV per formula unit
Spin magnetization: 0.00 μB per cell

=====

Entry from the Alexandria database: an optimized crystal structure of TbThTeN2 (PBE).

```
10
Lattice="7.297 0.000 0.000 0.000 4.112 0.000 -2.413 0.000 7.727" Properties=species:S:1:pos:R:3 pbc="T T T"
Tb 0.080 1.028 3.196
Tb 4.804 3.084 4.532
Th -1.012 1.028 7.114
Th 5.897 3.084 0.613
Te 2.728 3.084 1.939
Te 2.156 1.028 5.789
N -1.477 1.028 4.865
N -2.011 3.084 6.820
N 6.895 1.028 0.907
N 6.361 3.084 2.862
```

Crystal system: monoclinic
ΔE_f (raw): -1422 meV/atom
DOS(E_F): 4.1 states/eV/f.u.
E: -38.95 eV per formula unit
Spin magnetization: 0.00 μB per cell

=====

Entry from the Alexandria database: an optimized crystal structure of Tb2TmTe2N2 (PBE).

```
7
Lattice="-2.165 2.165 8.047 2.165 -2.165 8.047 2.165 2.165 -8.047" Properties=species:S:1:pos:R:3 pbc="T T T"
Tb 0.000 0.000 1.617
Tb 0.000 0.000 14.478
Tm 0.000 0.000 8.047
Te 0.000 0.000 5.045
Te 0.000 0.000 11.050
N 2.165 0.000 0.000
N 0.000 2.165 0.000
```

Crystal system: tetragonal
ΔE_f (raw): -1208 meV/atom
DOS(E_F): 3.4 states/eV/f.u.
E: -45.13 eV per formula unit
Spin magnetization: 0.00 μB per cell

=====

Entry from the Alexandria database: an optimized crystal structure of TbUTe2N (PBE).

```
10
Lattice="4.048 0.000 0.000 0.000 4.048 0.000 0.000 0.000 16.145" Properties=species:S:1:pos:R:3 pbc="T T T"
Tb 1.012 1.012 2.229
Tb 3.036 3.036 13.916
U 1.012 1.012 9.157
U 3.036 3.036 6.988
Te 1.012 1.012 5.189
Te 1.012 1.012 14.838
Te 3.036 3.036 1.307
Te 3.036 3.036 10.956
N 1.012 3.036 8.072
N 3.036 1.012 8.072
```

Crystal system: tetragonal
ΔE_f (raw): -1262 meV/atom
DOS(E_F): 6.9 states/eV/f.u.
E: -36.84 eV per formula unit
Spin magnetization: 3.54 μB per cell

=====

Entry from the Alexandria database: an optimized crystal structure of TbUTeN2 (PBE).

```
5
Lattice="-1.959 1.959 6.317 1.959 -1.959 6.317 1.959 1.959 -6.317" Properties=species:S:1:pos:R:3 pbc="T T T"
Tb 0.000 0.000 0.000
U 0.000 0.000 4.130
Te 0.000 0.000 8.397
N 1.959 0.000 5.085
N 0.000 1.959 5.085
```

Crystal system: tetragonal
ΔE_f (raw): -1501 meV/atom
DOS(E_F): 3.2 states/eV/f.u.
E: -43.22 eV per formula unit
Spin magnetization: 1.00 μB per cell

=====

Entry from the Alexandria database: an optimized crystal structure of Tb2ZrTe2N2 (PBE).

```
7
Lattice="-2.127 2.127 8.298 2.127 -2.127 8.298 2.127 2.127 -8.298" Properties=species:S:1:pos:R:3 pbc="T T T"
Tb 0.000 0.000 1.635
Tb 0.000 0.000 14.961
Zr 0.000 0.000 8.298
Te 0.000 0.000 5.320
Te 0.000 0.000 11.276
N 2.127 0.000 0.000
N 0.000 2.127 0.000
```

Crystal system: tetragonal
ΔE_f (raw): -1384 meV/atom
DOS(E_F): 0.1 states/eV/f.u.
E: -50.43 eV per formula unit
Spin magnetization: 0.00 μB per cell

=====

Entry from the Alexandria database: an optimized crystal structure of Tb2ThN3 (PBE).

```
12
Lattice="6.816 -1.752 0.000 6.816 1.752 0.000 -2.766 0.000 8.116" Properties=species:S:1:pos:R:3 pbc="T T T"
Tb 1.418 0.000 2.746
Tb 4.012 0.000 1.309
Tb 6.853 0.000 6.806
Tb 9.447 0.000 5.369
Th -1.383 0.000 4.058
Th 6.816 0.000 0.000
N -1.837 0.000 6.532
N 1.786 0.000 6.996
N 3.602 0.000 3.841
N 7.263 0.000 4.275
N 9.079 0.000 1.120
N 12.702 0.000 1.584
```

Crystal system: monoclinic
ΔE_f (raw): -1299 meV/atom
DOS(E_F): 2.0 states/eV/f.u.
E: -49.45 eV per formula unit
Spin magnetization: 0.00 μB per cell

=====

Entry from the Alexandria database: an optimized crystal structure of Tb2ThN (PBE).

```
4
Lattice="1.722 0.994 9.691 -1.722 0.994 9.691 0.000 -1.988 9.691" Properties=species:S:1:pos:R:3 pbc="T T T"
Tb 0.000 0.000 3.493
Tb 0.000 0.000 25.581
Th 0.000 0.000 0.000
N 0.000 0.000 14.537
```

Crystal system: trigonal
ΔE_f (raw): -654 meV/atom
DOS(E_F): 3.3 states/eV/f.u.
E: -27.62 eV per formula unit
Spin magnetization: 0.00 μB per cell

=====

Entry from the Alexandria database: an optimized crystal structure of TbTh2N3 (PBE).

```
12
Lattice="3.127 -5.417 0.000 3.127 5.417 0.000 -2.075 0.000 5.897" Properties=species:S:1:pos:R:3 pbc="T T T"
Tb 3.127 3.612 0.000
Tb 3.127 -3.612 0.000
Th -1.037 0.000 2.949
Th 2.089 1.815 2.949
Th 3.127 0.000 0.000
Th 2.089 -1.815 2.949
N 0.000 1.817 4.438
N 1.030 0.000 1.450
N 0.000 -1.817 4.438
N 4.179 1.817 1.459
N 3.149 0.000 4.447
N 4.179 -1.817 1.459
```

Crystal system: monoclinic
ΔE_f (raw): -1590 meV/atom
DOS(E_F): 2.6 states/eV/f.u.
E: -53.98 eV per formula unit
Spin magnetization: 0.00 μB per cell

=====

Entry from the Alexandria database: an optimized crystal structure of Tb5ThN6 (PBE).

```
12
Lattice="3.057 -5.292 0.000 3.057 5.292 0.000 -2.036 0.000 5.763" Properties=species:S:1:pos:R:3 pbc="T T T"
Tb 0.000 0.000 0.000
Tb 2.039 3.534 2.882
Tb 3.057 1.786 0.000
Tb 3.057 -1.786 0.000
Tb 2.039 -3.534 2.882
Th 2.039 0.000 2.882
N 1.021 1.761 1.438
N 0.005 0.000 4.311
N 1.021 -1.761 1.438
N 3.056 1.761 4.325
N 4.072 0.000 1.452
N 3.056 -1.761 4.325
```

Crystal system: monoclinic
ΔE_f (raw): -1668 meV/atom
DOS(E_F): 1.7 states/eV/f.u.
E: -100.54 eV per formula unit
Spin magnetization: 0.00 μB per cell